# 1
## SrLaGa (GGA-PBE)

Data for crystalline SrLaGa at its relaxed geometry.

Geometry as POSCAR:
```
SrLaGa
1.0
9.498 -0.043 0.000
0.803 3.778 0.000
-0.002 0.000 5.640
Sr Ga La
2 2 2
Direct
0.366 0.906 0.652
0.093 0.041 0.152
0.389 0.394 0.152
0.661 0.258 0.651
0.916 0.630 0.652
0.661 0.759 0.151
```

## Properties
The calculation puts the total magnetic moment at 0.00 μB/f.u. Its total energy is -3.46 eV/atom. As for the space-group type: Amm2 (38).



# 2
## Sr2Ce2Ti5O15 (GGA-PBE)

Data for crystalline Sr2Ce2Ti5O15 at its relaxed geometry.

Geometry as POSCAR:
```
Sr2Ce2Ti5O15
1.0
-7.208 -5.091 -7.676
-7.382 -8.457 -3.286
-10.498 -3.884 -3.392
Sr O Ce Ti
2 15 2 5
Direct
0.200 0.200 0.200
0.800 0.800 0.800
0.302 0.792 0.302
0.103 0.590 0.103
0.698 0.208 0.698
0.500 0.000 0.500
0.897 0.410 0.897
0.698 0.698 0.208
0.500 0.500 0.000
0.103 0.103 0.590
0.897 0.897 0.410
0.302 0.302 0.792
0.590 0.103 0.103
0.410 0.897 0.897
0.000 0.500 0.500
0.792 0.302 0.302
0.208 0.698 0.698
0.601 0.601 0.601
0.399 0.399 0.399
0.903 0.903 0.903
0.698 0.698 0.698
0.302 0.302 0.302
0.097 0.097 0.097
0.500 0.500 0.500
```

## Properties
The calculation puts the total magnetic moment at 2.03 μB/f.u. The value obtained for the formation energy without anion corrections is -3.11 eV/atom. As for the space-group type: R-3m (166).



# 3
## CaSbW2 (GGA-PBE)

Data for crystalline CaSbW2 at its relaxed geometry.

Geometry as POSCAR:
```
CaSbW2
1.0
3.597 0.000 0.000
0.000 3.597 0.000
0.000 0.000 6.609
Sb Ca W
1 1 2
Direct
0.500 0.500 0.750
0.500 0.500 0.250
0.000 0.000 0.938
0.000 0.000 0.562
```

## Properties
The calculation puts the total magnetic moment at 0.00 μB/f.u. The value obtained for the formation energy without anion corrections is 0.75 eV/atom. As for the space-group type: P4/mmm (123).



# 4
## Al2Zn3 (GGA-PBE)

Data for crystalline Al2Zn3 at its relaxed geometry.

Geometry as POSCAR:
```
Al2Zn3
1.0
3.962 0.000 0.000
0.000 6.315 0.166
0.000 -0.135 6.299
Al Zn
4 6
Direct
0.250 0.944 0.349
0.750 0.056 0.651
0.250 0.750 0.760
0.750 0.250 0.240
0.250 0.354 0.545
0.750 0.646 0.455
0.250 0.157 0.945
0.750 0.843 0.055
0.750 0.455 0.849
0.250 0.545 0.151
```

## Properties
The calculation puts the total magnetic moment at 0.00 μB/f.u. Its total energy is -2.23 eV/atom. As for the space-group type: P2_1/m (11).



# 5
## ZrPSN2 (GGA-PBE)

Data for crystalline ZrPSN2 at its relaxed geometry.

Geometry as POSCAR:
```
ZrPSN2
1.0
3.664 0.000 0.000
0.000 3.664 0.000
0.000 0.000 4.437
P S Zr N
1 1 1 2
Direct
0.000 0.000 0.000
0.000 0.000 0.500
0.500 0.500 0.500
0.000 0.500 0.000
0.500 0.000 0.000
```

## Properties
The calculation puts the total magnetic moment at 0.00 μB/f.u. The value obtained for the formation energy without anion corrections is 0.22 eV/atom. As for the space-group type: P4/mmm (123).



# 6
## NaSiPd (GGA-PBE)

Data for crystalline NaSiPd at its relaxed geometry.

Geometry as POSCAR:
```
NaSiPd
1.0
-2.288 1.253 -1.420
-1.496 -4.011 -1.129
-1.325 1.872 3.787
Na Si Pd
1 1 1
Direct
0.667 0.333 0.667
0.167 0.000 0.000
0.167 0.667 0.333
```

## Properties
The calculation puts the total magnetic moment at 0.00 μB/f.u. The value obtained for the formation energy without anion corrections is -0.15 eV/atom. As for the space-group type: P-6m2 (187).



# 7
## Ti2Nb6Tc (GGA-PBE)

Data for crystalline Ti2Nb6Tc at its relaxed geometry.

Geometry as POSCAR:
```
Ti2Nb6Tc
1.0
4.432 0.000 -0.183
0.000 6.144 0.000
-1.969 -3.072 6.699
Ti Nb Tc
2 6 1
Direct
0.667 0.666 0.333
0.333 0.334 0.667
0.166 0.415 0.330
0.834 0.085 0.670
0.834 0.585 0.670
0.500 0.250 0.000
0.166 0.915 0.330
0.500 0.750 0.000
0.000 0.000 0.000
```

## Properties
The calculation puts the total magnetic moment at 0.00 μB/f.u. Its total energy is -8.92 eV/atom. As for the space-group type: C2/m (12).



# 8
## Ca2Cd3Pd4 (GGA-PBE)

Data for crystalline Ca2Cd3Pd4 at its relaxed geometry.

Geometry as POSCAR:
```
Ca2Cd3Pd4
1.0
-4.137 3.514 -2.317
-4.953 -2.529 5.008
4.338 4.467 6.546
Ca Cd Pd
4 6 8
Direct
0.101 0.588 0.202
0.899 0.412 0.798
0.399 0.088 0.798
0.601 0.912 0.202
0.000 0.000 0.000
0.500 0.500 0.000
0.512 0.750 0.523
0.988 0.250 0.477
0.488 0.250 0.477
0.012 0.750 0.523
0.675 0.750 0.850
0.825 0.250 0.150
0.325 0.250 0.150
0.175 0.750 0.850
0.162 0.978 0.324
0.838 0.022 0.676
0.338 0.478 0.676
0.662 0.522 0.324
```

## Properties
The calculation puts the total magnetic moment at 0.00 μB/f.u. Its total energy is -3.60 eV/atom. As for the space-group type: Cmce (64).



> Which formula does entry 5 have?

ZrPSN2